1.
16
Lattice="3.9560 2.2840 6.4759 -3.9560 2.2840 6.4759 0.0000 -4.5679 6.4759" Properties=species:S:1:pos:R:3 comment="Tb5Sm3S8 | Alexandria via LeMat-Bulk | PBE-GGA | optimized geometry" spacegroup=R-3m pbc="T T T"
Tb 0.0000 0.0000 0.0000
Tb -1.9780 -1.1420 6.4759
Tb -1.9780 1.1420 12.9518
Tb 0.0000 2.2840 6.4759
Tb 0.0000 0.0000 9.7138
Sm -3.9559 0.0000 9.7138
Sm -1.9780 1.1420 3.2379
Sm 1.9780 1.1420 3.2379
S 0.0000 -2.2593 8.0596
S -1.9566 1.1296 8.0596
S 0.0000 0.0000 4.9105
S -1.9566 -1.1296 11.3681
S 1.9566 1.1296 8.0596
S 0.0000 0.0000 14.5171
S 1.9566 -1.1296 11.3681
S 0.0000 2.2593 11.3681

---

2.
5
Lattice="5.4245 0.0000 0.0000 0.0000 5.4245 0.0000 0.0000 0.0000 5.4245" Properties=species:S:1:pos:R:3 comment="TbSm3S | Alexandria via LeMat-Bulk | PBE-GGA | optimized geometry" spacegroup=Pm-3m pbc="T T T"
Tb 0.0000 0.0000 0.0000
Sm 0.0000 2.7123 2.7123
Sm 2.7123 0.0000 2.7123
Sm 2.7123 2.7123 0.0000
S 2.7123 2.7123 2.7123

---

3.
28
Lattice="12.0634 0.0000 0.0000 0.0000 3.8822 0.0000 0.0000 0.0000 14.0730" Properties=species:S:1:pos:R:3 comment="Tb2SmS4 | Alexandria via LeMat-Bulk | PBE-GGA | optimized geometry" e_above_lowest_polymorph_mev_per_atom=26 spacegroup=Pnma pbc="T T T"
Tb 0.7743 0.9705 1.6027
Tb 1.1614 0.9705 8.3526
Tb 4.8703 2.9116 1.3161
Tb 5.2574 2.9116 8.6392
Tb 6.8061 0.9705 5.4338
Tb 7.1931 0.9705 12.7568
Tb 10.9020 2.9116 5.7204
Tb 11.2891 2.9116 12.4702
Sm 2.9580 2.9116 11.7197
Sm 3.0737 0.9705 4.6833
Sm 8.9897 2.9116 9.3897
Sm 9.1054 0.9705 2.3532
S 0.5481 2.9116 10.0994
S 1.1610 0.9705 12.9723
S 1.5754 2.9116 6.4013
S 2.4148 2.9116 2.6529
S 3.6169 0.9705 9.6894
S 4.4563 0.9705 13.4378
S 4.8707 2.9116 5.9358
S 5.4836 0.9705 3.0630
S 6.5798 2.9116 11.0100
S 7.1927 0.9705 8.1372
S 7.6071 2.9116 0.6351
S 8.4465 2.9116 4.3836
S 9.6487 0.9705 11.4200
S 10.4880 0.9705 7.6716
S 10.9024 2.9116 1.1007
S 11.5153 0.9705 3.9735

---

4.
11
Lattice="4.8451 -4.9986 0.0000 4.8451 4.9986 0.0000 0.0000 0.0000 6.0461" Properties=species:S:1:pos:R:3 comment="Tb2Sm2S7 | Alexandria via LeMat-Bulk | PBE-GGA | optimized geometry" spacegroup=Cmmm pbc="T T T"
Tb 2.1509 0.0000 0.0000
Tb 7.5393 0.0000 0.0000
Sm 4.8451 2.6429 3.0230
Sm 4.8451 -2.6429 3.0230
S 0.0000 0.0000 1.5269
S 0.0000 0.0000 4.5192
S 2.4225 2.4993 1.4074
S 2.4225 2.4993 4.6387
S 2.4225 -2.4993 1.4074
S 2.4225 -2.4993 4.6387
S 4.8451 0.0000 3.0230

---

5.
15
Lattice="0.0000 5.6527 5.6527 5.6527 0.0000 5.6527 5.6527 5.6527 0.0000" Properties=species:S:1:pos:R:3 comment="TbSm6S8 | Alexandria via LeMat-Bulk | PBE-GGA | optimized geometry" e_above_lowest_polymorph_mev_per_atom=0 spacegroup=Fm-3m pbc="T T T"
Tb 0.0000 0.0000 0.0000
Sm 2.8264 2.8264 0.0000
Sm 2.8264 0.0000 2.8264
Sm 5.6527 2.8264 2.8264
Sm 0.0000 2.8264 2.8264
Sm 2.8264 5.6527 2.8264
Sm 2.8264 2.8264 5.6527
S 5.6527 5.6527 2.7894
S 5.6527 2.7894 5.6527
S 8.5160 5.6527 5.6527
S 2.8264 2.8264 2.8264
S 8.4791 8.4791 8.4791
S 2.7894 5.6527 5.6527
S 5.6527 8.5160 5.6527
S 5.6527 5.6527 8.5160

---

6.
14
Lattice="1.9289 -6.6304 0.0000 1.9289 6.6304 0.0000 0.0000 0.0000 13.3210" Properties=species:S:1:pos:R:3 comment="TbSm2S4 | Alexandria via LeMat-Bulk | PBE-GGA | optimized geometry" e_above_lowest_polymorph_mev_per_atom=12 spacegroup=Cmcm pbc="T T T"
Tb 1.9289 4.9452 9.9907
Tb 1.9289 -4.9452 3.3302
Sm 1.9289 1.7160 7.6062
Sm 1.9289 1.7160 12.3753
Sm 1.9289 -1.7160 0.9457
Sm 1.9289 -1.7160 5.7148
S 0.0000 0.0000 0.0000
S 0.0000 0.0000 6.6605
S 1.9289 2.9418 1.6572
S 1.9289 2.9418 5.0033
S 1.9289 0.2927 9.9907
S 1.9289 -0.2927 3.3302
S 1.9289 -2.9418 8.3176
S 1.9289 -2.9418 11.6638

---

7.
5
Lattice="5.3420 0.0000 0.0000 0.0000 5.3420 0.0000 0.0000 0.0000 5.3420" Properties=species:S:1:pos:R:3 comment="Tb3SmS | Alexandria via LeMat-Bulk | PBE-GGA | optimized geometry" spacegroup=Pm-3m pbc="T T T"
Tb 0.0000 0.0000 2.6710
Tb 0.0000 2.6710 0.0000
Tb 2.6710 0.0000 0.0000
Sm 2.6710 2.6710 2.6710
S 0.0000 0.0000 0.0000

---

8.
10
Lattice="-1.9947 1.9947 14.1446 1.9947 -1.9947 14.1446 1.9947 1.9947 -14.1446" Properties=species:S:1:pos:R:3 comment="TbSm4S5 | Alexandria via LeMat-Bulk | PBE-GGA | optimized geometry" spacegroup=I4/mmm pbc="T T T"
Tb 0.0000 0.0000 0.0000
Sm 0.0000 0.0000 5.5950
Sm 0.0000 0.0000 11.2938
Sm 0.0000 0.0000 16.9954
Sm 0.0000 0.0000 22.6942
S 0.0000 0.0000 2.7692
S 0.0000 0.0000 8.4519
S 0.0000 0.0000 14.1446
S 0.0000 0.0000 19.8372
S 0.0000 0.0000 25.5200

---

9.
16
Lattice="3.9769 2.2961 6.5089 -3.9769 2.2961 6.5089 0.0000 -4.5921 6.5089" Properties=species:S:1:pos:R:3 comment="Tb3Sm5S8 | Alexandria via LeMat-Bulk | PBE-GGA | optimized geometry" spacegroup=R-3m pbc="T T T"
Tb -1.9884 -1.1480 6.5089
Tb -1.9884 1.1480 13.0177
Tb 0.0000 2.2961 6.5089
Sm 0.0000 0.0000 0.0000
Sm -3.9769 0.0000 9.7633
Sm -1.9884 1.1480 3.2544
Sm 1.9884 1.1480 3.2544
Sm 0.0000 0.0000 9.7633
S 0.0000 -2.2701 8.0991
S -1.9660 1.1351 8.0991
S 0.0000 0.0000 4.9361
S -1.9660 -1.1351 11.4275
S 1.9660 1.1351 8.0991
S 0.0000 0.0000 14.5904
S 1.9660 -1.1351 11.4275
S 0.0000 2.2701 11.4275

---

10.
15
Lattice="5.6044 -5.6063 0.0000 5.6044 5.6063 0.0000 -5.5936 0.0000 5.6075" Properties=species:S:1:pos:R:3 comment="Tb3Sm4S8 | Alexandria via LeMat-Bulk | PBE-GGA | optimized geometry" spacegroup=C2/m pbc="T T T"
Tb 0.0000 0.0000 0.0000
Tb 0.0054 2.8031 2.8038
Tb 0.0054 -2.8031 2.8038
Sm -2.7968 0.0000 2.8038
Sm 2.8022 2.8031 0.0000
Sm 2.8022 -2.8031 0.0000
Sm 5.6044 0.0000 0.0000
S 5.6044 2.8301 0.0000
S 2.7742 0.0000 0.0238
S 0.0331 0.0000 2.7764
S 2.8076 2.7775 2.8038
S 2.8076 -2.7775 2.8038
S 5.5820 0.0000 2.8311
S 2.8409 0.0000 5.5837
S 5.6044 -2.8301 0.0000

---

The records above yield VASP energy values of -102.50 -26.24 -179.03 -64.95 -96.84 -89.59 -26.05 -64.32 -102.74 -96.51 eV/cell, respectively.